<A>
12
Lattice="2.8374 0.0000 0.0000 -1.4187 2.4572 0.0000 0.0000 0.0000 23.8482" Properties=species:S:1:pos:R:3 comment="PdSeF2 (meta-GGA SCAN, single point on PBEsol structure)" dos_at_fermi_per_ev_fu=1.62 pbc="T T T"
Pd 0.0000 0.0000 0.0000
Pd 0.0000 1.6382 15.8988
Pd 1.4187 0.8191 7.9494
Se 0.0000 0.0000 11.9241
Se 0.0000 1.6382 3.9747
Se 1.4187 0.8191 19.8735
F 0.0000 0.0000 9.9954
F 0.0000 0.0000 13.8529
F 0.0000 1.6382 2.0459
F 0.0000 1.6382 5.9035
F 1.4187 0.8191 17.9448
F 1.4187 0.8191 21.8023

<B>
16
Lattice="5.8604 0.0000 0.0000 0.0000 5.8604 0.0000 0.0000 0.0000 5.8604" Properties=species:S:1:pos:R:3 comment="PdSeF2 (meta-GGA SCAN, single point on PBEsol structure)" dos_at_fermi_per_ev_fu=3.30 pbc="T T T"
Pd 0.0000 0.0000 0.0000
Pd 0.0000 2.9302 2.9302
Pd 2.9302 0.0000 2.9302
Pd 2.9302 2.9302 0.0000
Se 0.0000 0.0000 2.9302
Se 0.0000 2.9302 0.0000
Se 2.9302 0.0000 0.0000
Se 2.9302 2.9302 2.9302
F 1.4651 1.4651 1.4651
F 1.4651 1.4651 4.3953
F 1.4651 4.3953 1.4651
F 1.4651 4.3953 4.3953
F 4.3953 1.4651 1.4651
F 4.3953 1.4651 4.3953
F 4.3953 4.3953 1.4651
F 4.3953 4.3953 4.3953

Which one sits at the top of the stability order? <A> does.

<A>
16
Lattice="6.4181 0.0000 0.0000 0.0000 6.4181 0.0000 0.0000 0.0000 6.4181" Properties=species:S:1:pos:R:3 comment="Sc2PtF (meta-GGA SCAN, single point on PBEsol structure)" dos_at_fermi_per_ev_fu=4.67 pbc="T T T"
Sc 1.6045 1.6045 1.6045
Sc 1.6045 1.6045 4.8136
Sc 1.6045 4.8136 1.6045
Sc 1.6045 4.8136 4.8136
Sc 4.8136 1.6045 1.6045
Sc 4.8136 1.6045 4.8136
Sc 4.8136 4.8136 1.6045
Sc 4.8136 4.8136 4.8136
Pt 0.0000 0.0000 0.0000
Pt 0.0000 3.2090 3.2090
Pt 3.2090 0.0000 3.2090
Pt 3.2090 3.2090 0.0000
F 0.0000 0.0000 3.2090
F 0.0000 3.2090 0.0000
F 3.2090 0.0000 0.0000
F 3.2090 3.2090 3.2090

<B>
12
Lattice="3.9652 0.0000 0.0000 -1.9826 3.4340 0.0000 0.0000 0.0000 19.8235" Properties=species:S:1:pos:R:3 comment="Sc2PtF (meta-GGA SCAN, single point on PBEsol structure)" dos_at_fermi_per_ev_fu=1.88 pbc="T T T"
Sc 0.0000 0.0000 2.0151
Sc 0.0000 0.0000 17.8085
Sc 0.0000 2.2893 11.2006
Sc 0.0000 2.2893 15.2307
Sc 1.9826 1.1447 4.5928
Sc 1.9826 1.1447 8.6229
Pt 0.0000 0.0000 9.9118
Pt 0.0000 2.2893 3.3039
Pt 1.9826 1.1447 16.5196
F 0.0000 0.0000 0.0000
F 0.0000 2.2893 13.2157
F 1.9826 1.1447 6.6078

Which one sits at the top of the stability order? <B> does.